No. 1
! Pr6Ge2P3S PBE relaxed; values from VASP
&SYSTEM
  ibrav = 0, nat = 12, ntyp = 4
/
ATOMIC_SPECIES
Pr 140.91 Pr.upf
Ge 72.64 Ge.upf
P 30.97 P.upf
S 32.06 S.upf
ATOMIC_POSITIONS angstrom
Pr -0.464 0.000 2.055
Pr 5.318 0.000 3.523
Pr 4.396 0.000 7.546
Pr 12.079 0.000 0.754
Pr 11.158 0.000 4.777
Pr 16.939 0.000 6.245
Ge 1.410 0.000 6.911
Ge 15.065 0.000 1.389
P 2.382 0.000 2.778
P 9.234 0.000 0.000
P 14.093 0.000 5.522
S 8.238 0.000 4.150
CELL_PARAMETERS angstrom
9.234 -2.095 0.000
9.234 2.095 0.000
-1.993 0.000 8.300
! Crystal system ... monoclinic
! Space group ... C2/m
! DFT total energy ... -6.21 eV per atom


No. 2
! Ag5AuF2 PBE relaxed; values from VASP
&SYSTEM
  ibrav = 0, nat = 8, ntyp = 3
/
ATOMIC_SPECIES
Ag 107.87 Ag.upf
Au 196.97 Au.upf
F 19.00 F.upf
ATOMIC_POSITIONS angstrom
Ag 0.000 0.000 0.000
Ag 2.080 0.000 2.063
Ag 2.080 0.000 5.329
Ag 0.000 2.080 2.063
Ag 0.000 2.080 5.329
Au 0.000 0.000 7.392
F 0.000 0.000 3.702
F 0.000 0.000 11.082
CELL_PARAMETERS angstrom
-2.080 2.080 7.392
2.080 -2.080 7.392
2.080 2.080 -7.392
! Crystal system ... tetragonal
! Space group ... I4/mmm
! DFT total energy ... -3.16 eV per atom